1.
Here is Co2ReP at its PBEsol-relaxed geometry from the Alexandria database. Energies are from meta-GGA SCAN.

The structure belongs to space group Pmmm (No. 47); the cell edges are 2.923, 3.938 and 3.945 Å and the angles 90.00°, 90.00° and 90.00°. The inequivalent atoms are Co at (0.000, 0.000, 0.000), Co at (0.500, 0.500, 0.000), Re at (0.000, 0.500, 0.500) and P at (0.500, 0.000, 0.500).

For the formation energy, the calculation gives 3.39 kcal/mol of atoms. The value obtained for the total moment is 0.34 μB/f.u.


2.
Here is CoReP2 at its PBEsol-relaxed geometry from the Alexandria database. Energies are from meta-GGA SCAN.

The structure belongs to space group R-3m (No. 166, hexagonal axes); the cell edges are 2.8346, 2.8346 and 21.0791 Å and the angles 90.00°, 90.00° and 120.00°. The inequivalent atoms are Co at (0.0000, 0.0000, 0.0000), Re at (0.0000, 0.0000, 0.5000) and P at (0.0000, 0.0000, 0.2544).

For the formation energy, the calculation gives 0.54 kcal/mol of atoms. The value obtained for the total moment is 0.00 μB/f.u.


3.
Here is CoPRh3 at its PBEsol-relaxed geometry from the Alexandria database. Energies are from meta-GGA SCAN.

The structure belongs to space group Pm-3m (No. 221); the cell edges are 4.344, 4.344 and 4.344 Å and the angles 90.00°, 90.00° and 90.00°. The inequivalent atoms are Co at (0.000, 0.000, 0.000), P at (0.500, 0.500, 0.500) and Rh at (0.000, 0.000, 0.500).

For the formation energy, the calculation gives 29.08 kcal/mol of atoms. The value obtained for the total moment is 4.49 μB/f.u.


4.
Here is CoP2RhS at its PBEsol-relaxed geometry from the Alexandria database. Energies are from meta-GGA SCAN.

The structure belongs to space group P4/mmm (No. 123); the cell edges are 4.130, 4.130 and 4.456 Å and the angles 90.00°, 90.00° and 90.00°. The inequivalent atoms are Co at (0.000, 0.000, 0.000), P at (0.000, 0.500, 0.000), Rh at (0.500, 0.500, 0.500) and S at (0.000, 0.000, 0.500).

The energy comes out at -15.60 eV per atom. The value obtained for the total moment is 0.00 μB/f.u.


5.
Here is Co2PRu at its PBEsol-relaxed geometry from the Alexandria database. Energies are from meta-GGA SCAN.

The structure belongs to space group Pmmm (No. 47); the cell edges are 2.779, 3.985 and 4.074 Å and the angles 90.00°, 90.00° and 90.00°. The inequivalent atoms are Co at (0.000, 0.000, 0.000), Co at (0.500, 0.500, 0.000), P at (0.000, 0.500, 0.500) and Ru at (0.500, 0.000, 0.500).

For the formation energy, the calculation gives 0.33 kcal/mol of atoms. The value obtained for the total moment is 3.45 μB/f.u.


6.
Here is Co2PRu at its PBEsol-relaxed geometry from the Alexandria database. Energies are from meta-GGA SCAN.

The structure belongs to space group P4mm (No. 99); the cell edges are 2.773, 2.773 and 5.863 Å and the angles 90.00°, 90.00° and 90.00°. The inequivalent atoms are Co at (0.000, 0.000, 0.000), Co at (0.500, 0.500, 0.261), P at (0.000, 0.000, 0.473) and Ru at (0.500, 0.500, 0.712).

For the formation energy, the calculation gives -1.10 kcal/mol of atoms. The value obtained for the total moment is 3.63 μB/f.u.


Q: total moment of number 3 (CoPRh3)?
A: 4.49 μB/f.u.